Computed, not measured: a geometry-optimized Tb2Al2Ga structure at the PBE level of DFT.

Cell lengths 5.821, 5.821, 10.490 Å; angles 114.29, 114.29, 45.13 degrees
Positions (direct):
Tb 0.015 0.015 0.331
Tb 0.181 0.181 0.096
Tb 0.819 0.819 0.904
Tb 0.985 0.985 0.669
Al 0.359 0.359 0.435
Al 0.478 0.478 0.117
Al 0.522 0.522 0.883
Al 0.641 0.641 0.565
Ga 0.276 0.276 0.665
Ga 0.724 0.724 0.335

The space-group type is C2/m (12). As for the crystal system: monoclinic. Its total magnetization is 0.0 μB/cell. As for the energy of formation: -0.51 eV per atom.